# 1
PrHoIn6: optimized geometry, GGA-PBE.

Values from the calculation:
Energy of formation from the pure elements, eV per atom: -0.437
Total DFT energy (no corrections), eV per cell: -29.3
Space group: P4/mmm, No. 123
Offset from the most stable computed form, meV per atom: 0

Cell lengths 4.6854, 4.6854, 9.3632 Å; angles 90.00, 90.00, 90.00 degrees
Element x y z (fractional)
Pr  0.0000  0.0000  0.0000
Ho  0.0000  0.0000  0.5000
In  0.5000  0.5000  0.0000
In  0.5000  0.5000  0.5000
In  0.5000  0.0000  0.2561
In  0.5000  0.0000  0.7439
In  0.0000  0.5000  0.2561
In  0.0000  0.5000  0.7439

=====

# 2
Pr5Ho6In: optimized geometry, GGA-PBE.

Values from the calculation:
Energy of formation from the pure elements, eV per atom: -0.046
Total DFT energy (no corrections), eV per cell: -54.7
Space group: Immm, No. 71

Cell lengths 5.0503, 9.4442, 9.4442 Å; angles 106.57, 105.49, 105.49 degrees
Element x y z (fractional)
Pr  0.5000  0.1670  0.8330
Pr  0.0000  0.3363  0.6637
Pr  0.5000  0.5000  0.5000
Pr  0.0000  0.6637  0.3363
Pr  0.5000  0.8330  0.1670
Ho  0.2449  0.0811  0.4087
Ho  0.7551  0.5913  0.9189
Ho  0.7437  0.2435  0.2435
Ho  0.2563  0.7565  0.7565
Ho  0.2449  0.4087  0.0811
Ho  0.7551  0.9189  0.5913
In  0.0000  0.0000  0.0000

=====

# 3
Pr6HoIn6: optimized geometry, GGA-PBE.

Values from the calculation:
Energy of formation from the pure elements, eV per atom: -0.323
Total DFT energy (no corrections), eV per cell: -53.9
Space group: P6/mmm, No. 191

Cell lengths 6.4271, 6.4271, 11.1839 Å; angles 90.00, 90.00, 120.00 degrees
Site moments in Bohr magnetons follow the coordinates.
Element x y z (fractional)
Pr  0.0000  0.0000  0.6699  0.19
Pr  0.0000  0.0000  0.3301  0.19
Pr  0.3333  0.6667  0.0000  0.01
Pr  0.6667  0.3333  0.0000  0.01
Pr  0.3333  0.6667  0.5000  0.11
Pr  0.6667  0.3333  0.5000  0.11
Ho  0.0000  0.0000  0.0000  0.05
In  0.0000  0.5000  0.7534  0.00
In  0.5000  0.0000  0.7534  0.00
In  0.5000  0.5000  0.7533  0.00
In  0.5000  0.0000  0.2466  0.00
In  0.0000  0.5000  0.2466  0.00
In  0.5000  0.5000  0.2467  0.00

=====

# 4
PrHo2In4: optimized geometry, GGA-PBE.

Values from the calculation:
Energy of formation from the pure elements, eV per atom: -0.282
Total DFT energy (no corrections), eV per cell: -26.9
Space group: I4/mmm, No. 139
Offset from the most stable computed form, meV per atom: 0

Cell lengths 4.6975, 4.6975, 9.9347 Å; angles 103.68, 103.68, 90.00 degrees
Site moments in Bohr magnetons follow the coordinates.
Element x y z (fractional)
Pr  0.0000  0.0000  0.0000  -0.01
Ho  0.7515  0.7515  0.5030  0.15
Ho  0.2485  0.2485  0.4970  0.15
In  0.3741  0.8741  0.7483  0.00
In  0.8741  0.3741  0.7483  0.00
In  0.6259  0.1259  0.2517  0.00
In  0.1259  0.6259  0.2517  0.00

=====

# 5
Pr5Ho2In: optimized geometry, GGA-PBE.

Values from the calculation:
Energy of formation from the pure elements, eV per atom: -0.067
Total DFT energy (no corrections), eV per cell: -36.3
Space group: I4mm, No. 107
Offset from the most stable computed form, meV per atom: 46

Cell lengths 7.6130, 7.6131, 6.9996 Å; angles 122.93, 122.93, 90.03 degrees
Element x y z (fractional)
Pr  0.6948  0.2416  0.9364
Pr  0.2415  0.2415  0.9365
Pr  0.6950  0.6950  0.9366
Pr  0.2416  0.6949  0.9365
Pr  0.7733  0.7733  0.5467
Ho  0.2194  0.7194  0.4388
Ho  0.7194  0.2194  0.4388
In  0.1919  0.1919  0.3837

=====

# 6
Pr4Ho9In11: optimized geometry, GGA-PBE.

Values from the calculation:
Energy of formation from the pure elements, eV per atom: -0.393
Total DFT energy (no corrections), eV per cell: -99.9
Space group: Cmmm, No. 65

Cell lengths 3.4660, 14.2900, 14.2900 Å; angles 110.97, 90.00, 90.00 degrees
Element x y z (fractional)
Pr  0.5000  0.5955  0.7573
Pr  0.5000  0.4045  0.2427
Pr  0.5000  0.7573  0.5955
Pr  0.5000  0.2427  0.4045
Ho  0.5000  0.6107  0.1673
Ho  0.5000  0.3893  0.8327
Ho  0.5000  0.1673  0.6107
Ho  0.5000  0.8327  0.3893
Ho  0.5000  0.7968  0.9933
Ho  0.5000  0.2032  0.0067
Ho  0.5000  0.9933  0.7968
Ho  0.5000  0.0067  0.2032
Ho  0.5000  0.5000  0.5000
In  0.0000  0.5909  0.9626
In  0.0000  0.4091  0.0374
In  0.0000  0.9626  0.5909
In  0.0000  0.0374  0.4091
In  0.0000  0.6218  0.3782
In  0.0000  0.3782  0.6218
In  0.0000  0.8097  0.1903
In  0.0000  0.1903  0.8097
In  0.0000  0.0000  0.0000
In  0.0000  0.8061  0.8061
In  0.0000  0.1939  0.1939

=====

# 7
Pr3Ho3In: optimized geometry, GGA-PBE.

Values from the calculation:
Energy of formation from the pure elements, eV per atom: -0.111
Total DFT energy (no corrections), eV per cell: -63.2
Space group: P6_3/m, No. 176

Cell lengths 5.6408, 9.5541, 9.5546 Å; angles 120.01, 90.00, 90.00 degrees
Element x y z (fractional)
Pr  0.2500  0.5261  0.6318
Pr  0.2500  0.1053  0.4736
Pr  0.2500  0.3681  0.8945
Pr  0.7500  0.4739  0.3682
Pr  0.7500  0.8947  0.5264
Pr  0.7500  0.6319  0.1055
Ho  0.7500  0.7649  0.8233
Ho  0.7500  0.0586  0.2352
Ho  0.7500  0.1767  0.9417
Ho  0.2500  0.2351  0.1767
Ho  0.2500  0.9414  0.7648
Ho  0.2500  0.8233  0.0583
In  0.7500  0.3332  0.6667
In  0.2500  0.6668  0.3333

=====

# 8
PrHo7In2: optimized geometry, GGA-PBE.

Values from the calculation:
Energy of formation from the pure elements, eV per atom: 0.345
Total DFT energy (no corrections), eV per cell: -38.9
Space group: Cmmm, No. 65

Cell lengths 5.5456, 8.8350, 8.8350 Å; angles 117.97, 90.00, 90.00 degrees
Site moments in Bohr magnetons follow the coordinates.
Element x y z (fractional)
Pr  0.0000  0.0000  0.0000  0.13
Ho  0.0000  0.7645  0.2355  0.11
Ho  0.0000  0.2355  0.7645  0.11
Ho  0.5000  0.0578  0.3039  0.15
Ho  0.5000  0.9422  0.6961  0.15
Ho  0.5000  0.3039  0.0578  0.15
Ho  0.5000  0.6961  0.9422  0.15
Ho  0.5000  0.5000  0.5000  0.10
In  0.5000  0.6974  0.3026  0.01
In  0.5000  0.3026  0.6974  0.01

=====

# 9
PrHo3In2: optimized geometry, GGA-PBE.

Values from the calculation:
Energy of formation from the pure elements, eV per atom: -0.349
Total DFT energy (no corrections), eV per cell: -52.2
Space group: Pmc2_1, No. 26
Offset from the most stable computed form, meV per atom: 0

Cell lengths 5.2217, 6.7484, 9.9066 Å; angles 90.00, 90.00, 90.00 degrees
Element x y z (fractional)
Pr  0.5000  0.5411  0.5382
Pr  0.5000  0.0411  0.4618
Ho  0.0000  0.4639  0.9591
Ho  0.0000  0.9639  0.0409
Ho  0.5000  0.6814  0.1778
Ho  0.5000  0.1814  0.8222
Ho  0.0000  0.3175  0.3120
Ho  0.0000  0.8175  0.6880
In  0.5000  0.7111  0.8618
In  0.5000  0.2111  0.1382
In  0.0000  0.2850  0.6459
In  0.0000  0.7850  0.3541

=====

# 10
PrHo3In2: optimized geometry, GGA-PBE.

Values from the calculation:
Energy of formation from the pure elements, eV per atom: -0.250
Total DFT energy (no corrections), eV per cell: -51.0
Space group: C2/m, No. 12
Offset from the most stable computed form, meV per atom: 99

Cell lengths 5.3893, 9.2584, 9.2363 Å; angles 124.56, 90.00, 106.92 degrees
Site moments in Bohr magnetons follow the coordinates.
Element x y z (fractional)
Pr  0.8683  0.7365  0.9076  0.01
Pr  0.1317  0.2635  0.0924  0.01
Ho  0.3069  0.6139  0.6050  0.04
Ho  0.9397  0.8795  0.5938  0.13
Ho  0.6154  0.2308  0.6891  0.11
Ho  0.3846  0.7692  0.3109  0.11
Ho  0.0603  0.1205  0.4062  0.13
Ho  0.6931  0.3861  0.3950  0.04
In  0.5184  0.0367  0.8688  0.00
In  0.4816  0.9633  0.1312  0.00
In  0.7740  0.5479  0.1422  0.00
In  0.2260  0.4521  0.8578  0.00

=====

# 11
Pr8Ho5In: optimized geometry, GGA-PBE.

Values from the calculation:
Energy of formation from the pure elements, eV per atom: 0.102
Total DFT energy (no corrections), eV per cell: -62.4
Space group: C2, No. 5

Cell lengths 8.7613, 8.5940, 8.7613 Å; angles 116.16, 117.71, 95.99 degrees
Element x y z (fractional)
Pr  0.9088  0.5787  0.9491
Pr  0.0623  0.1330  0.7226
Pr  0.7688  0.2991  0.4192
Pr  0.5073  0.2793  0.9230
Pr  0.6438  0.7207  0.2281
Pr  0.5896  0.8669  0.9292
Pr  0.3704  0.4213  0.3301
Pr  0.1201  0.7009  0.4697
Ho  0.8964  0.2231  0.0181
Ho  0.0856  0.0728  0.3288
Ho  0.7950  0.7769  0.6732
Ho  0.5058  0.0000  0.5058
Ho  0.2560  0.9272  0.0128
In  0.2402  0.5000  0.7402

=====

# 12
Pr3Ho2In4: optimized geometry, GGA-PBE.

Values from the calculation:
Energy of formation from the pure elements, eV per atom: -0.375
Total DFT energy (no corrections), eV per cell: -37.8
Space group: C2/m, No. 12

Cell lengths 5.0973, 6.5540, 10.0918 Å; angles 117.95, 90.00, 112.88 degrees
Element x y z (fractional)
Pr  0.6455  0.2910  0.6844
Pr  0.0000  0.0000  0.0000
Pr  0.3545  0.7090  0.3156
Ho  0.6468  0.2936  0.3127
Ho  0.3532  0.7064  0.6873
In  0.7010  0.4020  0.0390
In  0.2990  0.5980  0.9610
In  0.9443  0.8885  0.6068
In  0.0557  0.1115  0.3932

=====

# 13
Pr2HoIn2: optimized geometry, GGA-PBE.

Values from the calculation:
Energy of formation from the pure elements, eV per atom: -0.380
Total DFT energy (no corrections), eV per cell: -21.5
Space group: Immm, No. 71
Offset from the most stable computed form, meV per atom: 0

Cell lengths 5.0406, 6.1071, 6.1071 Å; angles 70.90, 65.63, 65.63 degrees
Element x y z (fractional)
Pr  0.1937  0.3063  0.3063
Pr  0.8063  0.6937  0.6937
Ho  0.0000  0.0000  0.0000
In  0.5000  0.2875  0.7125
In  0.5000  0.7125  0.2875

=====

# 14
Pr3HoIn: optimized geometry, GGA-PBE.

Values from the calculation:
Energy of formation from the pure elements, eV per atom: 0.129
Total DFT energy (no corrections), eV per cell: -42.0
Space group: Ima2, No. 46
Offset from the most stable computed form, meV per atom: 315

Cell lengths 7.9454, 7.9454, 7.9454 Å; angles 87.74, 115.63, 127.37 degrees
Element x y z (fractional)
Pr  0.0560  0.2848  0.7218
Pr  0.0560  0.8341  0.2712
Pr  0.5630  0.7848  0.7288
Pr  0.1030  0.2839  0.3191
Pr  0.5630  0.3341  0.2782
Pr  0.9647  0.7839  0.6809
Ho  0.4855  0.9852  0.0004
Ho  0.9848  0.4852  0.9996
In  0.5773  0.7703  0.3070
In  0.4633  0.2703  0.6930

=====

# 15
Pr3HoIn3: optimized geometry, GGA-PBE.

Values from the calculation:
Energy of formation from the pure elements, eV per atom: -0.329
Total DFT energy (no corrections), eV per cell: -117.7
Space group: P2_13, No. 198
Offset from the most stable computed form, meV per atom: 0

Cell lengths 9.5741, 9.5741, 9.5741 Å; angles 90.00, 90.00, 90.00 degrees
Element x y z (fractional)
Pr  0.8321  0.3321  0.1679
Pr  0.9318  0.9318  0.9318
Pr  0.8221  0.6779  0.3221
Pr  0.1679  0.8321  0.3321
Pr  0.1779  0.1779  0.1779
Pr  0.3221  0.8221  0.6779
Pr  0.0682  0.4318  0.5682
Pr  0.3321  0.1679  0.8321
Pr  0.6779  0.3221  0.8221
Pr  0.6679  0.6679  0.6679
Pr  0.5682  0.0682  0.4318
Pr  0.4318  0.5682  0.0682
Ho  0.0774  0.5774  0.9226
Ho  0.9226  0.0774  0.5774
Ho  0.4226  0.4226  0.4226
Ho  0.5774  0.9226  0.0774
In  0.7564  0.6336  0.9935
In  0.8664  0.0065  0.2564
In  0.9935  0.7564  0.6336
In  0.1336  0.5065  0.2436
In  0.2436  0.1336  0.5065
In  0.2564  0.8664  0.0065
In  0.0065  0.2564  0.8664
In  0.3664  0.4935  0.7436
In  0.5065  0.2436  0.1336
In  0.6336  0.9935  0.7564
In  0.7436  0.3664  0.4935
In  0.4935  0.7436  0.3664

=====

# 16
PrHo5In2: optimized geometry, GGA-PBE.

Values from the calculation:
Energy of formation from the pure elements, eV per atom: -0.181
Total DFT energy (no corrections), eV per cell: -34.6
Space group: Immm, No. 71

Cell lengths 3.6064, 8.4419, 8.4419 Å; angles 76.62, 77.67, 77.67 degrees
Element x y z (fractional)
Pr  0.0000  0.0000  0.0000
Ho  0.0000  0.5000  0.5000
Ho  0.6350  0.5906  0.1394
Ho  0.3650  0.4094  0.8606
Ho  0.3650  0.8606  0.4094
Ho  0.6350  0.1394  0.5906
In  0.7425  0.7575  0.7575
In  0.2575  0.2425  0.2425

=====

# 17
Pr3Ho2In7: optimized geometry, GGA-PBE.

Values from the calculation:
Energy of formation from the pure elements, eV per atom: -0.236
Total DFT energy (no corrections), eV per cell: -45.5
Space group: Cmmm, No. 65

Cell lengths 5.4479, 5.2240, 12.9265 Å; angles 101.66, 90.00, 90.00 degrees
Element x y z (fractional)
Pr  0.5000  0.5000  0.0000
Pr  0.5000  0.6604  0.3208
Pr  0.5000  0.3396  0.6792
Ho  0.0000  0.8559  0.7119
Ho  0.0000  0.1441  0.2881
In  0.0000  0.4242  0.8483
In  0.0000  0.7286  0.4573
In  0.0000  0.0000  0.0000
In  0.0000  0.5758  0.1517
In  0.5000  0.0806  0.1613
In  0.5000  0.9194  0.8387
In  0.0000  0.2714  0.5427

=====

# 18
Pr2Ho3In4: optimized geometry, GGA-PBE.

Values from the calculation:
Energy of formation from the pure elements, eV per atom: -0.312
Total DFT energy (no corrections), eV per cell: -74.1
Space group: Cmce, No. 64

Cell lengths 7.0541, 8.9909, 9.2171 Å; angles 90.00, 112.50, 90.00 degrees
Element x y z (fractional)
Pr  0.1069  0.5800  0.2139
Pr  0.8931  0.4200  0.7861
Pr  0.3931  0.0800  0.7861
Pr  0.6069  0.9200  0.2139
Ho  0.0000  0.0000  0.0000
Ho  0.5000  0.5000  0.0000
Ho  0.5281  0.7500  0.5561
Ho  0.9719  0.2500  0.4439
Ho  0.4719  0.2500  0.4439
Ho  0.0281  0.7500  0.5561
In  0.7077  0.7500  0.9155
In  0.7923  0.2500  0.0845
In  0.2923  0.2500  0.0845
In  0.2077  0.7500  0.9155
In  0.1798  0.9608  0.3596
In  0.8202  0.0392  0.6404
In  0.3202  0.4608  0.6404
In  0.6798  0.5392  0.3596

=====

# 19
Pr2HoIn9: optimized geometry, GGA-PBE.

Values from the calculation:
Energy of formation from the pure elements, eV per atom: -0.448
Total DFT energy (no corrections), eV per cell: -44.2
Space group: P4/mmm, No. 123

Cell lengths 4.7053, 4.7053, 14.0970 Å; angles 90.00, 90.00, 90.00 degrees
Element x y z (fractional)
Pr  0.0000  0.0000  0.3310
Pr  0.0000  0.0000  0.6690
Ho  0.0000  0.0000  0.0000
In  0.5000  0.5000  0.0000
In  0.5000  0.5000  0.3325
In  0.5000  0.5000  0.6675
In  0.5000  0.0000  0.1617
In  0.5000  0.0000  0.5000
In  0.5000  0.0000  0.8383
In  0.0000  0.5000  0.1617
In  0.0000  0.5000  0.5000
In  0.0000  0.5000  0.8383

=====

# 20
PrHoIn6: optimized geometry, GGA-PBE.

Values from the calculation:
Energy of formation from the pure elements, eV per atom: -0.384
Total DFT energy (no corrections), eV per cell: -28.9
Space group: Amm2, No. 38
Offset from the most stable computed form, meV per atom: 53

Cell lengths 5.3268, 6.6981, 6.6981 Å; angles 119.99, 90.00, 90.00 degrees
Element x y z (fractional)
Pr  0.5000  0.4162  0.5838
Ho  0.0000  0.0837  0.9163
In  0.0000  0.0633  0.4071
In  0.0000  0.5929  0.9367
In  0.0000  0.5908  0.4092
In  0.5000  0.4259  0.0876
In  0.5000  0.9124  0.5741
In  0.5000  0.9145  0.0855